The following is a DFT calculation (PBE with a Hubbard U) of a relaxed structure of Sc2WO.

Cell lengths 6.366, 6.366, 5.990 Å; angles 57.90, 57.90, 90.00 degrees
Last column: magnetic moment on the atom in μB.
Element x y z (fractional)
Sc (0.501, 0.125, 0.250)  -0.04
Sc (0.249, 0.625, 0.250)  -0.03
Sc (0.375, 0.499, 0.750)  -0.02
Sc (0.875, 0.751, 0.750)  -0.01
O (0.500, 0.500, 0.000)  0.04
O (0.250, 0.750, 0.500)  0.04
W (0.000, 0.000, 0.000)  3.14
W (0.750, 0.250, 0.500)  3.15

Output
Total energy, eV/atom: -6.998
SG: I-42d (122)
DOS at the Fermi energy, states/eV per atom: 0.722
Size of the total moment, Bohr magnetons per cell: 7.96